The following is a meta-GGA SCAN calculation of a PBEsol-optimized structure of PbWN2F, from Alexandria.

abc: 4.4469 4.4469 3.6772
angles: 90.00 90.00 90.00
Last column: nearest neighbours and their distance in Å.
Space group P4/mmm (No. 123)
Asymmetric unit:
Pb  0.0000  0.0000  0.0000 [1 per cell]  8 N 2.89, 4 W 3.14
W  0.5000  0.5000  0.0000 [1 per cell]  2 F 1.84
N  0.0000  0.5000  0.5000 [2 per cell]  2 F 2.22
F  0.5000  0.5000  0.5000 [1 per cell]  2 W 1.84

Results
**Formation energy from raw total energies**: 1836 meV/atom
**Spin magnetization**: 1.23 Bohr magnetons per cell
**E_tot**: -31.682 eV per atom